Entry 1:
The following is a DFT calculation (GGA-PBE) of an optimized crystal structure of RbLiB4O7.

a b c (Å): 8.8101 11.4549 13.0725
angles (deg): 90.00 90.00 90.00
Closest atoms and distances in Å follow each position.
Element x y z (fractional)
Rb: 0.1335 0.0456 0.1000  4 O 2.86-3.01
Rb: 0.1919 0.6268 0.7073  6 O 2.79-3.09
Rb: 0.3081 0.3732 0.2073  6 O 2.79-3.09
Rb: 0.3665 0.9544 0.6000  4 O 2.86-3.01
Rb: 0.6335 0.4544 0.9000  4 O 2.86-3.01
Rb: 0.6919 0.8732 0.2927  6 O 2.79-3.09
Rb: 0.8081 0.1268 0.7927  6 O 2.79-3.09
Rb: 0.8665 0.5456 0.4000  4 O 2.86-3.01
Li: 0.0815 0.1458 0.3808  4 O 1.94-2.14
Li: 0.2445 0.6726 0.1921  4 O 1.96-2.12
Li: 0.2555 0.3274 0.6921  4 O 1.96-2.12
Li: 0.4185 0.8542 0.8808  4 O 1.94-2.14
Li: 0.5815 0.3542 0.6192  4 O 1.94-2.14
Li: 0.7445 0.8274 0.8079  4 O 1.96-2.12
Li: 0.7555 0.1726 0.3079  4 O 1.96-2.12
Li: 0.9185 0.6458 0.1192  4 O 1.94-2.14
B: 0.0052 0.3794 0.8556  3 O 1.36-1.41
B: 0.0088 0.8909 0.4531  4 O 1.47-1.50
B: 0.0653 0.7552 0.3059  3 O 1.33-1.44
B: 0.0700 0.9026 0.8363  4 O 1.45-1.50
B: 0.1285 0.3563 0.5207  4 O 1.46-1.50
B: 0.1359 0.7759 0.9877  3 O 1.37-1.38
B: 0.2004 0.4871 0.9476  3 O 1.36-1.41
B: 0.2375 0.9217 0.3416  3 O 1.36-1.40
B: 0.2625 0.0783 0.8416  3 O 1.36-1.40
B: 0.2996 0.5129 0.4476  3 O 1.36-1.41
B: 0.3641 0.2241 0.4877  3 O 1.37-1.38
B: 0.3715 0.6437 0.0207  4 O 1.46-1.50
B: 0.4300 0.0974 0.3363  4 O 1.45-1.50
B: 0.4347 0.2448 0.8059  3 O 1.33-1.44
B: 0.4912 0.1091 0.9531  4 O 1.47-1.50
B: 0.4948 0.6206 0.3556  3 O 1.36-1.41
B: 0.5052 0.1206 0.1444  3 O 1.36-1.41
B: 0.5088 0.6091 0.5469  4 O 1.47-1.50
B: 0.5653 0.7448 0.6941  3 O 1.33-1.44
B: 0.5700 0.5974 0.1637  4 O 1.45-1.50
B: 0.6285 0.1437 0.4793  4 O 1.46-1.50
B: 0.6359 0.7241 0.0123  3 O 1.37-1.38
B: 0.7004 0.0129 0.0524  3 O 1.36-1.41
B: 0.7375 0.5783 0.6584  3 O 1.36-1.40
B: 0.7625 0.4217 0.1584  3 O 1.36-1.40
B: 0.7996 0.9871 0.5524  3 O 1.36-1.41
B: 0.8641 0.2759 0.5123  3 O 1.37-1.38
B: 0.8715 0.8563 0.9793  4 O 1.46-1.50
B: 0.9300 0.4026 0.6637  4 O 1.45-1.50
B: 0.9347 0.2552 0.1941  3 O 1.33-1.44
B: 0.9912 0.3909 0.0469  4 O 1.47-1.50
B: 0.9948 0.8794 0.6444  3 O 1.36-1.41
O: 0.0094 0.2829 0.4737  2 B 1.38-1.48
O: 0.0260 0.2918 0.1141  2 B 1.39-1.47
O: 0.0333 0.6657 0.2444  1 B 1.33
O: 0.0619 0.8486 0.5540  2 B 1.37-1.48
O: 0.0655 0.8483 0.7331  2 B 1.36-1.49
O: 0.0797 0.4081 0.6174  2 B 1.45-1.46
O: 0.1279 0.4642 0.0375  2 B 1.36-1.47
O: 0.1292 0.0238 0.8206  2 B 1.36-1.50
O: 0.1319 0.9663 0.4092  2 B 1.38-1.50
O: 0.1427 0.4418 0.8547  2 B 1.41
O: 0.1732 0.4441 0.4412  2 B 1.37-1.50
O: 0.1790 0.8303 0.8980  2 B 1.38-1.50
O: 0.2062 0.8170 0.2899  2 B 1.40-1.44
O: 0.2378 0.7162 0.0470  2 B 1.37-1.48
O: 0.2622 0.2838 0.5470  2 B 1.37-1.48
O: 0.2938 0.1830 0.7899  2 B 1.40-1.44
O: 0.3210 0.1697 0.3980  2 B 1.38-1.50
O: 0.3268 0.5559 0.9412  2 B 1.37-1.50
O: 0.3573 0.5582 0.3547  2 B 1.41
O: 0.3681 0.0337 0.9092  2 B 1.38-1.50
O: 0.3708 0.9762 0.3206  2 B 1.36-1.50
O: 0.3721 0.5358 0.5375  2 B 1.36-1.47
O: 0.4203 0.5919 0.1174  2 B 1.45-1.46
O: 0.4345 0.1517 0.2331  2 B 1.36-1.49
O: 0.4381 0.1514 0.0540  2 B 1.37-1.48
O: 0.4667 0.3343 0.7444  1 B 1.33
O: 0.4740 0.7082 0.6141  2 B 1.39-1.47
O: 0.4906 0.7171 0.9737  2 B 1.38-1.48
O: 0.5094 0.2171 0.5263  2 B 1.38-1.48
O: 0.5260 0.2082 0.8859  2 B 1.39-1.47
O: 0.5333 0.8343 0.7556  1 B 1.33
O: 0.5619 0.6514 0.4460  2 B 1.37-1.48
O: 0.5655 0.6517 0.2669  2 B 1.36-1.49
O: 0.5797 0.0919 0.3826  2 B 1.45-1.46
O: 0.6279 0.0358 0.9625  2 B 1.36-1.47
O: 0.6292 0.4762 0.1794  2 B 1.36-1.50
O: 0.6319 0.5337 0.5908  2 B 1.38-1.50
O: 0.6427 0.0582 0.1453  2 B 1.41
O: 0.6732 0.0559 0.5588  2 B 1.37-1.50
O: 0.6790 0.6697 0.1020  2 B 1.38-1.50
O: 0.7062 0.6830 0.7101  2 B 1.40-1.44
O: 0.7378 0.7838 0.9530  2 B 1.37-1.48
O: 0.7622 0.2162 0.4530  2 B 1.37-1.48
O: 0.7938 0.3170 0.2101  2 B 1.40-1.44
O: 0.8210 0.3303 0.6020  2 B 1.38-1.50
O: 0.8268 0.9441 0.0588  2 B 1.37-1.50
O: 0.8573 0.9418 0.6453  2 B 1.41
O: 0.8681 0.4663 0.0908  2 B 1.38-1.50
O: 0.8708 0.5238 0.6794  2 B 1.36-1.50
O: 0.8721 0.9642 0.4625  2 B 1.36-1.47
O: 0.9203 0.9081 0.8826  2 B 1.45-1.46
O: 0.9345 0.3483 0.7669  2 B 1.36-1.49
O: 0.9381 0.3486 0.9460  2 B 1.37-1.48
O: 0.9667 0.1657 0.2556  1 B 1.33
O: 0.9740 0.7918 0.3859  2 B 1.39-1.47
O: 0.9906 0.7829 0.0263  2 B 1.38-1.48

---

Entry 2:
The following is a DFT calculation (GGA-PBE) of an optimized crystal structure of MgCuPO2.

a b c (Å): 3.7865 3.7865 4.6849
angles (deg): 90.00 90.00 90.00
Closest atoms and distances in Å follow each position.
Element x y z (fractional)
Mg: 0.0000 0.0000 0.0000  4 P 2.68
Cu: 0.5000 0.5000 0.5000  4 O 1.89
P: 0.5000 0.5000 0.0000  2 Cu 2.34
O: 0.0000 0.5000 0.5000  2 Cu 1.89
O: 0.5000 0.0000 0.5000  2 Cu 1.89

Output
Distance to the lowest polymorph of the same formula ... 0 meV per atom

---

Entry 3:
The following is a DFT calculation (GGA-PBE) of an optimized crystal structure of NaDyS.

a b c (Å): 3.8496 3.8496 10.9615
angles (deg): 90.05 90.05 90.00
Closest atoms and distances in Å follow each position.
Element x y z (fractional)
Na: 0.2493 0.2493 0.3949  1 S 2.83
Na: 0.7507 0.7507 0.6051  1 S 2.83
Dy: 0.2503 0.2503 0.8864  5 S 2.73-2.74
Dy: 0.7497 0.7497 0.1136  5 S 2.73-2.74
S: 0.2499 0.2499 0.1368  5 Dy 2.73-2.74, 1 Na 2.83
S: 0.7501 0.7501 0.8632  5 Dy 2.73-2.74, 1 Na 2.83

---

Entry 4:
The following is a DFT calculation (GGA-PBE) of an optimized crystal structure of Zr2TeCl.

a b c (Å): 6.2036 6.2036 6.2036
angles (deg): 148.08 133.98 57.10
Closest atoms and distances in Å follow each position.
Element x y z (fractional)
Zr: 0.0000 0.0000 0.0000  2 Cl 2.73, 4 Te 2.97
Zr: 0.7083 0.2083 0.5000  4 Cl 2.97, 2 Te 2.97, 2 Zr 3.32
Te: 0.4848 0.4848 0.0000  6 Zr 2.97
Cl: 0.1955 0.6955 0.5000  6 Zr 2.73-2.97

Output
Distance to the lowest polymorph of the same formula ... 341 meV per atom

---

no.,raw formation energy (eV/atom)
1,-2.418
2,-0.084
3,-1.222
4,-0.521